--- 1 ---
A plane-wave DFT calculation with PBE was carried out for Mg3PIr after structural relaxation.

Unit cell a=4.705 b=4.705 c=4.705 alpha=90.00 beta=90.00 gamma=90.00
Fractional positions:
Mg (0.000, 0.000, 0.500)
Mg (0.000, 0.500, 0.000)
Mg (0.500, 0.000, 0.000)
P (0.000, 0.000, 0.000)
Ir (0.500, 0.500, 0.500)


--- 2 ---
A plane-wave DFT calculation with PBE was carried out for Mg3PIr after structural relaxation.

Unit cell a=4.882 b=4.882 c=4.882 alpha=90.00 beta=90.00 gamma=90.00
Fractional positions:
Mg (0.000, 0.000, 0.500)
Mg (0.000, 0.500, 0.000)
Mg (0.500, 0.000, 0.000)
P (0.500, 0.500, 0.500)
Ir (0.000, 0.000, 0.000)


Of them, 1 has the highest stability.


--- 1 ---
A plane-wave DFT calculation with PBE was carried out for MgP2IrS after structural relaxation.

Unit cell a=4.467 b=4.467 c=4.403 alpha=90.00 beta=90.00 gamma=90.00
Fractional positions:
Mg (0.000, 0.000, 0.000)
P (0.000, 0.500, 0.500)
P (0.500, 0.000, 0.500)
Ir (0.500, 0.500, 0.000)
S (0.000, 0.000, 0.500)


--- 2 ---
A plane-wave DFT calculation with PBE was carried out for MgP2IrS after structural relaxation.

Unit cell a=4.599 b=4.599 c=4.580 alpha=90.00 beta=90.00 gamma=90.00
Fractional positions:
Mg (0.000, 0.000, 0.000)
P (0.000, 0.500, 0.000)
P (0.500, 0.000, 0.000)
Ir (0.500, 0.500, 0.500)
S (0.000, 0.000, 0.500)


--- 3 ---
A plane-wave DFT calculation with PBE was carried out for MgP2IrS after structural relaxation.

Unit cell a=4.462 b=4.462 c=5.369 alpha=90.00 beta=90.00 gamma=90.00
Fractional positions:
Mg (0.000, 0.000, 0.000)
P (0.000, 0.500, 0.500)
P (0.500, 0.000, 0.500)
Ir (0.500, 0.500, 0.500)
S (0.500, 0.500, 0.000)


Of them, 3 has the highest stability.